1.
Na3InSe | PBE-GGA | relaxed

Summary:
Crystal system ... cubic

Unit cell a=5.531 b=5.531 c=5.531 alpha=90.00 beta=90.00 gamma=90.00
Atoms (fractional coordinates):
Na 0.000 0.000 0.500
Na 0.000 0.500 0.000
Na 0.500 0.000 0.000
In 0.500 0.500 0.500
Se 0.000 0.000 0.000

***

2.
NaIn5Se4 | PBE-GGA | relaxed

Summary:
Crystal system ... orthorhombic

Unit cell a=8.955 b=9.634 c=7.578 alpha=90.00 beta=90.00 gamma=90.00
Atoms (fractional coordinates):
Na 0.250 0.250 0.142
Na 0.750 0.750 0.858
In 0.036 0.065 0.733
In 0.036 0.435 0.733
In 0.250 0.750 0.852
In 0.464 0.065 0.733
In 0.464 0.435 0.733
In 0.536 0.565 0.267
In 0.536 0.935 0.267
In 0.750 0.250 0.148
In 0.964 0.565 0.267
In 0.964 0.935 0.267
Se 0.017 0.750 0.646
Se 0.250 0.538 0.070
Se 0.250 0.962 0.070
Se 0.483 0.750 0.646
Se 0.517 0.250 0.354
Se 0.750 0.038 0.930
Se 0.750 0.462 0.930
Se 0.983 0.250 0.354

***

3.
Na8InSe6 | PBE-GGA | relaxed

Summary:
Crystal system ... orthorhombic

Unit cell a=7.666 b=8.829 c=12.641 alpha=90.00 beta=90.00 gamma=90.00
Atoms (fractional coordinates):
Na 0.000 0.118 0.000
Na 0.000 0.242 0.430
Na 0.209 0.569 0.780
Na 0.217 0.947 0.768
Na 0.223 0.731 0.107
Na 0.277 0.269 0.607
Na 0.283 0.053 0.268
Na 0.291 0.431 0.280
Na 0.500 0.758 0.930
Na 0.500 0.882 0.500
Na 0.709 0.431 0.280
Na 0.717 0.053 0.268
Na 0.723 0.269 0.607
Na 0.777 0.731 0.107
Na 0.783 0.947 0.768
Na 0.791 0.569 0.780
In 0.000 0.746 0.473
In 0.500 0.254 0.973
Se 0.000 0.001 0.581
Se 0.000 0.248 0.211
Se 0.000 0.497 0.586
Se 0.000 0.781 0.925
Se 0.239 0.255 0.837
Se 0.261 0.745 0.337
Se 0.500 0.219 0.425
Se 0.500 0.503 0.086
Se 0.500 0.752 0.711
Se 0.500 0.999 0.081
Se 0.739 0.745 0.337
Se 0.761 0.255 0.837

***

4.
Na5In2Se5 | PBE-GGA | relaxed

Summary:
Crystal system ... monoclinic

Unit cell a=7.222 b=7.222 c=12.001 alpha=107.39 beta=107.39 gamma=33.70
Atoms (fractional coordinates):
Na 0.000 0.000 0.000
Na 0.156 0.156 0.548
Na 0.238 0.238 0.863
Na 0.762 0.762 0.137
Na 0.844 0.844 0.452
In 0.456 0.456 0.710
In 0.544 0.544 0.290
Se 0.178 0.178 0.299
Se 0.393 0.393 0.097
Se 0.500 0.500 0.500
Se 0.607 0.607 0.903
Se 0.822 0.822 0.701

***

5.
Na2InSe2 | PBE-GGA | relaxed

Summary:
Crystal system ... tetragonal

Unit cell a=7.844 b=7.844 c=4.121 alpha=90.00 beta=90.00 gamma=90.00
Atoms (fractional coordinates):
Na 0.134 0.366 0.000
Na 0.366 0.866 0.000
Na 0.634 0.134 0.000
Na 0.866 0.634 0.000
In 0.000 0.000 0.500
In 0.500 0.500 0.500
Se 0.180 0.680 0.500
Se 0.320 0.180 0.500
Se 0.680 0.820 0.500
Se 0.820 0.320 0.500

***

6.
Na3InSe | PBE-GGA | relaxed

Summary:
Crystal system ... cubic

Unit cell a=5.703 b=5.703 c=5.703 alpha=90.00 beta=90.00 gamma=90.00
Atoms (fractional coordinates):
Na 0.000 0.000 0.500
Na 0.000 0.500 0.000
Na 0.500 0.000 0.000
In 0.000 0.000 0.000
Se 0.500 0.500 0.500

***

7.
NaInSe | PBE-GGA | relaxed

Summary:
Crystal system ... orthorhombic

Unit cell a=5.643 b=8.141 c=7.124 alpha=90.00 beta=90.00 gamma=90.00
Atoms (fractional coordinates):
Na 0.141 0.089 0.250
Na 0.141 0.411 0.750
Na 0.859 0.589 0.250
Na 0.859 0.911 0.750
In 0.329 0.750 0.000
In 0.329 0.750 0.500
In 0.671 0.250 0.000
In 0.671 0.250 0.500
Se 0.350 0.082 0.750
Se 0.350 0.418 0.250
Se 0.650 0.582 0.750
Se 0.650 0.918 0.250

***

8.
NaInSiSe4 | PBE-GGA | relaxed

Summary:
Crystal system ... orthorhombic

Unit cell a=7.453 b=7.453 c=7.836 alpha=90.00 beta=90.00 gamma=113.61
Atoms (fractional coordinates):
Na 0.000 0.000 0.000
Na 0.000 0.000 0.500
In 0.367 0.633 0.750
In 0.633 0.367 0.250
Si 0.363 0.637 0.250
Si 0.637 0.363 0.750
Se 0.246 0.754 0.024
Se 0.246 0.754 0.476
Se 0.257 0.300 0.250
Se 0.300 0.257 0.750
Se 0.700 0.743 0.250
Se 0.743 0.700 0.750
Se 0.754 0.246 0.524
Se 0.754 0.246 0.976

***

9.
NaInSi2Se6 | PBE-GGA | relaxed

Summary:
Crystal system ... monoclinic

Unit cell a=9.342 b=9.342 c=6.978 alpha=104.89 beta=104.89 gamma=88.77
Atoms (fractional coordinates):
Na 0.125 0.875 0.750
Na 0.875 0.125 0.250
In 0.226 0.774 0.250
In 0.774 0.226 0.750
Si 0.224 0.371 0.789
Si 0.371 0.224 0.289
Si 0.629 0.776 0.711
Si 0.776 0.629 0.211
Se 0.045 0.184 0.669
Se 0.122 0.596 0.886
Se 0.184 0.045 0.169
Se 0.314 0.425 0.527
Se 0.404 0.878 0.614
Se 0.425 0.314 0.027
Se 0.575 0.686 0.973
Se 0.596 0.122 0.386
Se 0.686 0.575 0.473
Se 0.816 0.955 0.831
Se 0.878 0.404 0.114
Se 0.955 0.816 0.331

***

10.
Na2SmInSe4 | PBE-GGA | relaxed

Summary:
Crystal system ... monoclinic

Unit cell a=7.168 b=4.126 c=7.479 alpha=90.00 beta=108.92 gamma=90.00
Atoms (fractional coordinates):
Na 0.000 0.000 0.000
Na 0.500 0.500 0.000
Sm 0.000 0.500 0.500
In 0.500 0.000 0.500
Se 0.249 0.000 0.735
Se 0.273 0.500 0.276
Se 0.727 0.500 0.724
Se 0.751 0.000 0.265

***

11.
Na3Sm2InSe6 | PBE-GGA | relaxed

Summary:
Crystal system ... monoclinic

Unit cell a=7.214 b=7.214 c=7.458 alpha=99.25 beta=99.25 gamma=120.02
Atoms (fractional coordinates):
Na 0.000 0.000 0.000
Na 0.334 0.666 0.000
Na 0.666 0.334 0.000
Sm 0.167 0.833 0.500
Sm 0.833 0.167 0.500
In 0.500 0.500 0.500
Se 0.100 0.423 0.268
Se 0.255 0.255 0.729
Se 0.423 0.100 0.268
Se 0.577 0.900 0.732
Se 0.745 0.745 0.271
Se 0.900 0.577 0.732

***

12.
Na4In3SnSe8 | PBE-GGA | relaxed

Summary:
Crystal system ... trigonal

Unit cell a=8.481 b=8.481 c=8.481 alpha=57.05 beta=57.05 gamma=57.05
Atoms (fractional coordinates):
Na 0.000 0.000 0.000
Na 0.000 0.500 0.500
Na 0.500 0.000 0.500
Na 0.500 0.500 0.000
In 0.000 0.000 0.500
In 0.000 0.500 0.000
In 0.500 0.000 0.000
Sn 0.500 0.500 0.500
Se 0.235 0.745 0.745
Se 0.240 0.240 0.240
Se 0.255 0.255 0.765
Se 0.255 0.765 0.255
Se 0.745 0.235 0.745
Se 0.745 0.745 0.235
Se 0.760 0.760 0.760
Se 0.765 0.255 0.255

***

13.
NaInSn2Se4 | PBE-GGA | relaxed

Summary:
Crystal system ... orthorhombic

Unit cell a=8.365 b=8.365 c=8.365 alpha=120.02 beta=119.16 gamma=90.71
Atoms (fractional coordinates):
Na 0.500 0.000 0.000
Na 0.500 0.500 0.500
In 0.000 0.000 0.000
In 0.500 0.000 0.500
Sn 0.000 0.000 0.500
Sn 0.000 0.500 0.000
Sn 0.000 0.500 0.500
Sn 0.500 0.500 0.000
Se 0.243 0.244 0.000
Se 0.252 0.244 0.493
Se 0.252 0.759 0.007
Se 0.256 0.756 0.500
Se 0.744 0.244 0.500
Se 0.748 0.241 0.993
Se 0.748 0.756 0.507
Se 0.757 0.756 0.000

***

14.
Na4InSn3Se8 | PBE-GGA | relaxed

Summary:
Crystal system ... trigonal

Unit cell a=8.538 b=8.538 c=8.538 alpha=57.04 beta=57.04 gamma=57.04
Atoms (fractional coordinates):
Na 0.000 0.000 0.000
Na 0.000 0.500 0.500
Na 0.500 0.000 0.500
Na 0.500 0.500 0.000
In 0.500 0.500 0.500
Sn 0.000 0.000 0.500
Sn 0.000 0.500 0.000
Sn 0.500 0.000 0.000
Se 0.244 0.244 0.244
Se 0.250 0.739 0.739
Se 0.261 0.261 0.750
Se 0.261 0.750 0.261
Se 0.739 0.250 0.739
Se 0.739 0.739 0.250
Se 0.750 0.261 0.261
Se 0.756 0.756 0.756

***

15.
Na3In3SnSe8 | PBE-GGA | relaxed

Summary:
Crystal system ... monoclinic

Unit cell a=7.987 b=7.987 c=8.517 alpha=118.03 beta=118.03 gamma=59.96
Atoms (fractional coordinates):
Na 0.000 0.000 0.000
Na 0.000 0.500 0.000
Na 0.500 0.000 0.000
In 0.000 0.500 0.500
In 0.500 0.000 0.500
In 0.500 0.500 0.500
Sn 0.000 0.000 0.500
Se 0.237 0.237 0.718
Se 0.237 0.745 0.718
Se 0.255 0.763 0.282
Se 0.260 0.260 0.281
Se 0.740 0.740 0.719
Se 0.745 0.237 0.718
Se 0.763 0.255 0.282
Se 0.763 0.763 0.282

***

16.
NaIn4SnSe8 | PBE-GGA | relaxed

Summary:
Crystal system ... trigonal

Unit cell a=8.243 b=8.243 c=8.243 alpha=60.38 beta=60.38 gamma=60.38
Atoms (fractional coordinates):
Na 0.000 0.000 0.000
In 0.108 0.632 0.632
In 0.249 0.249 0.249
In 0.632 0.108 0.632
In 0.632 0.632 0.108
Sn 0.632 0.632 0.632
Se 0.383 0.383 0.848
Se 0.383 0.848 0.383
Se 0.386 0.386 0.386
Se 0.405 0.867 0.867
Se 0.848 0.383 0.383
Se 0.865 0.865 0.865
Se 0.867 0.405 0.867
Se 0.867 0.867 0.405

***

17.
Na2In2SnSe6 | PBE-GGA | relaxed

Summary:
Crystal system ... monoclinic

Unit cell a=6.883 b=6.883 c=7.565 alpha=98.75 beta=98.75 gamma=119.91
Atoms (fractional coordinates):
Na 0.166 0.834 0.000
Na 0.834 0.166 0.000
In 0.329 0.671 0.500
In 0.671 0.329 0.500
Sn 0.000 0.000 0.500
Se 0.072 0.401 0.720
Se 0.254 0.254 0.288
Se 0.401 0.072 0.720
Se 0.599 0.928 0.280
Se 0.746 0.746 0.712
Se 0.928 0.599 0.280

***

18.
Na2InSnSe4 | PBE-GGA | relaxed

Summary:
Crystal system ... tetragonal

Unit cell a=6.696 b=6.696 c=11.876 alpha=90.00 beta=90.00 gamma=90.00
Atoms (fractional coordinates):
Na 0.000 0.000 0.000
Na 0.000 0.500 0.250
Na 0.500 0.000 0.750
Na 0.500 0.500 0.500
In 0.000 0.000 0.500
In 0.500 0.500 0.000
Sn 0.000 0.500 0.750
Sn 0.500 0.000 0.250
Se 0.220 0.757 0.623
Se 0.243 0.220 0.377
Se 0.257 0.280 0.877
Se 0.280 0.743 0.123
Se 0.720 0.257 0.123
Se 0.743 0.720 0.877
Se 0.757 0.780 0.377
Se 0.780 0.243 0.623

***

19.
NaSrIn2Se4 | PBE-GGA | relaxed

Summary:
Crystal system ... tetragonal

Unit cell a=6.457 b=6.457 c=13.401 alpha=90.00 beta=90.00 gamma=90.00
Atoms (fractional coordinates):
Na 0.000 0.000 0.000
Na 0.500 0.500 0.500
Sr 0.000 0.000 0.500
Sr 0.500 0.500 0.000
In 0.000 0.500 0.250
In 0.000 0.500 0.750
In 0.500 0.000 0.250
In 0.500 0.000 0.750
Se 0.241 0.241 0.860
Se 0.241 0.759 0.140
Se 0.259 0.259 0.360
Se 0.259 0.741 0.640
Se 0.741 0.259 0.640
Se 0.741 0.741 0.360
Se 0.759 0.241 0.140
Se 0.759 0.759 0.860

***

Calculated magnetic moment in order - 0.00; 0.00; 0.05; 0.00; 0.00; 0.00; 0.00; 0.00; 0.00; 0.00; 0.00; 0.00; 0.00; 0.00; 0.00; 0.00; 0.00; 0.00; 0.00 Bohr magnetons per cell
Calculated energy relative to the elements, uncorrected in order - -0.3788; -0.4160; -0.8670; -0.8574; -0.6783; 0.2127; -0.6135; -0.6265; -0.4943; -1.2186; -1.3729; -0.7695; -0.5614; -0.7055; -0.7167; -0.5381; -0.6779; -0.6916; -0.9092 eV per atom
Calculated electronic total energy in order - -2.415; -3.311; -3.147; -3.315; -3.147; -1.823; -3.128; -3.972; -4.075; -4.223; -4.460; -3.605; -3.812; -3.699; -3.653; -3.692; -3.680; -3.606; -3.711 eV/atom